1.
Entry from the Alexandria database: Sm8ScHg2 after structural relaxation (PBE).

Lattice parameters (Å, degrees): 8.779 8.779 5.615 100.83 100.83 119.68
Sites, in units of the cell vectors:
1 Sm 0.094 0.317 0.604
2 Sm 0.220 0.780 0.000
3 Sm 0.317 0.094 0.604
4 Sm 0.394 0.394 0.198
5 Sm 0.606 0.606 0.802
6 Sm 0.683 0.906 0.396
7 Sm 0.780 0.220 0.000
8 Sm 0.906 0.683 0.396
9 Sc 0.000 0.000 0.000
10 Hg 0.305 0.695 0.500
11 Hg 0.695 0.305 0.500

For the total energy, the calculation gives -4.116 eV per atom. The energy relative to the elements is -0.053 eV per atom.


2.
Entry from the Alexandria database: InAgRh2 after structural relaxation (PBE).

Lattice parameters (Å, degrees): 2.964 2.964 26.483 90.00 90.00 120.00
Sites, in units of the cell vectors:
1 In 0.000 0.000 0.000
2 In 0.333 0.667 0.667
3 In 0.667 0.333 0.333
4 Ag 0.000 0.000 0.500
5 Ag 0.333 0.667 0.167
6 Ag 0.667 0.333 0.833
7 Rh 0.000 0.000 0.253
8 Rh 0.000 0.000 0.747
9 Rh 0.333 0.667 0.414
10 Rh 0.333 0.667 0.920
11 Rh 0.667 0.333 0.080
12 Rh 0.667 0.333 0.586

For the total energy, the calculation gives -4.998 eV per atom. The energy relative to the elements is 0.075 eV per atom.